A PBEsol-optimized structure of CaY3Sn, computed with meta-GGA SCAN.

abc: 5.7494 5.7494 5.7494
angles: 90.00 90.00 90.00
Last column: nearest neighbours and their distance in Å.
Atoms (fractional coordinates):
Ca (0.0000, 0.0000, 0.0000)  12 Y 4.07
Y (0.0000, 0.5000, 0.5000)  2 Sn 2.87
Y (0.5000, 0.0000, 0.5000)  2 Sn 2.87
Y (0.5000, 0.5000, 0.0000)  2 Sn 2.87
Sn (0.5000, 0.5000, 0.5000)  6 Y 2.87

Its space group is Pm-3m. Its formation energy from the elements is -6 meV/atom. Its energy above the most stable polymorph in this dataset is 0.000 eV/atom.



A PBEsol-optimized structure of CrAg2Ir, computed with meta-GGA SCAN.

abc: 2.6710 2.6710 9.3475
angles: 90.00 90.00 117.25
Last column: nearest neighbours and their distance in Å.
Atoms (fractional coordinates):
Cr (0.0000, 0.0000, 0.0000)  2 Ir 2.45, 4 Cr 2.67, 2 Ag 2.74
Ag (0.0000, 0.0000, 0.5162)  8 Ag 2.67-2.83, 2 Ir 2.86
Ag (0.5000, 0.5000, 0.2520)  8 Ag 2.67-2.83, 2 Cr 2.74
Ir (0.5000, 0.5000, 0.7839)  2 Cr 2.45, 4 Ir 2.67

Its space group is Cmm2. Its formation energy from the elements is 332 meV/atom. Its energy above the most stable polymorph in this dataset is 0.000 eV/atom.



A PBEsol-optimized structure of Na2Be2Si3O9, computed with meta-GGA SCAN.

abc: 11.7997 9.4628 6.8334
angles: 90.00 90.00 90.00
Last column: nearest neighbours and their distance in Å.
Atoms (fractional coordinates):
Na (0.1516, 0.0312, 0.1519)  6 O 2.49-2.74
Na (0.1516, 0.4688, 0.1519)  6 O 2.49-2.74
Na (0.3484, 0.5312, 0.6519)  6 O 2.49-2.74
Na (0.3484, 0.9688, 0.6519)  6 O 2.49-2.74
Na (0.6516, 0.0312, 0.3481)  6 O 2.49-2.74
Na (0.6516, 0.4688, 0.3481)  6 O 2.49-2.74
Na (0.8484, 0.5312, 0.8481)  6 O 2.49-2.74
Na (0.8484, 0.9688, 0.8481)  6 O 2.49-2.74
Be (0.0696, 0.0592, 0.5940)  4 O 1.59-1.68
Be (0.0696, 0.4408, 0.5940)  4 O 1.59-1.68
Be (0.4304, 0.5592, 0.0940)  4 O 1.59-1.68
Be (0.4304, 0.9408, 0.0940)  4 O 1.59-1.68
Be (0.5696, 0.0592, 0.9060)  4 O 1.59-1.68
Be (0.5696, 0.4408, 0.9060)  4 O 1.59-1.68
Be (0.9304, 0.5592, 0.4060)  4 O 1.59-1.68
Be (0.9304, 0.9408, 0.4060)  4 O 1.59-1.68
Si (0.0036, 0.2500, 0.8998)  4 O 1.61-1.67
Si (0.0623, 0.7500, 0.6703)  4 O 1.61-1.66
Si (0.2462, 0.7500, 0.9740)  4 O 1.61-1.66
Si (0.2538, 0.2500, 0.4740)  4 O 1.61-1.66
Si (0.4377, 0.2500, 0.1703)  4 O 1.61-1.66
Si (0.4964, 0.7500, 0.3998)  4 O 1.61-1.67
Si (0.5036, 0.2500, 0.6002)  4 O 1.61-1.67
Si (0.5623, 0.7500, 0.8297)  4 O 1.61-1.66
Si (0.7462, 0.7500, 0.5260)  4 O 1.61-1.66
Si (0.7538, 0.2500, 0.0260)  4 O 1.61-1.66
Si (0.9377, 0.2500, 0.3297)  4 O 1.61-1.66
Si (0.9964, 0.7500, 0.1002)  4 O 1.61-1.67
O (0.0266, 0.2500, 0.1412)  2 Si 1.66-1.67
O (0.0406, 0.6088, 0.5447)  1 Si 1.61, 2 Be 1.66-1.68
O (0.0406, 0.8912, 0.5447)  1 Si 1.61, 2 Be 1.66-1.68
O (0.0536, 0.1030, 0.8181)  1 Be 1.60, 1 Si 1.61
O (0.0536, 0.3970, 0.8181)  1 Be 1.60, 1 Si 1.61
O (0.1364, 0.7500, 0.1241)  2 Si 1.65-1.66
O (0.1874, 0.1025, 0.4974)  1 Be 1.59, 1 Si 1.61
O (0.1874, 0.3975, 0.4974)  1 Be 1.59, 1 Si 1.61
O (0.1937, 0.7500, 0.7480)  2 Si 1.64-1.66
O (0.3063, 0.2500, 0.2480)  2 Si 1.64-1.66
O (0.3126, 0.6025, 0.9974)  1 Be 1.59, 1 Si 1.61
O (0.3126, 0.8975, 0.9974)  1 Be 1.59, 1 Si 1.61
O (0.3636, 0.2500, 0.6241)  2 Si 1.65-1.66
O (0.4464, 0.6030, 0.3181)  1 Be 1.60, 1 Si 1.61
O (0.4464, 0.8970, 0.3181)  1 Be 1.60, 1 Si 1.61
O (0.4594, 0.1088, 0.0447)  1 Si 1.61, 2 Be 1.66-1.68
O (0.4594, 0.3912, 0.0447)  1 Si 1.61, 2 Be 1.66-1.68
O (0.4734, 0.7500, 0.6412)  2 Si 1.66-1.67
O (0.5266, 0.2500, 0.3588)  2 Si 1.66-1.67
O (0.5406, 0.6088, 0.9553)  1 Si 1.61, 2 Be 1.66-1.68
O (0.5406, 0.8912, 0.9553)  1 Si 1.61, 2 Be 1.66-1.68
O (0.5536, 0.1030, 0.6819)  1 Be 1.60, 1 Si 1.61
O (0.5536, 0.3970, 0.6819)  1 Be 1.60, 1 Si 1.61
O (0.6364, 0.7500, 0.3759)  2 Si 1.65-1.66
O (0.6874, 0.1025, 0.0026)  1 Be 1.59, 1 Si 1.61
O (0.6874, 0.3975, 0.0026)  1 Be 1.59, 1 Si 1.61
O (0.6937, 0.7500, 0.7520)  2 Si 1.64-1.66
O (0.8063, 0.2500, 0.2520)  2 Si 1.64-1.66
O (0.8126, 0.6025, 0.5026)  1 Be 1.59, 1 Si 1.61
O (0.8126, 0.8975, 0.5026)  1 Be 1.59, 1 Si 1.61
O (0.8636, 0.2500, 0.8759)  2 Si 1.65-1.66
O (0.9464, 0.6030, 0.1819)  1 Be 1.60, 1 Si 1.61
O (0.9464, 0.8970, 0.1819)  1 Be 1.60, 1 Si 1.61
O (0.9594, 0.1088, 0.4553)  1 Si 1.61, 2 Be 1.66-1.68
O (0.9594, 0.3912, 0.4553)  1 Si 1.61, 2 Be 1.66-1.68
O (0.9734, 0.7500, 0.8588)  2 Si 1.66-1.67

Its space group is Pnma. The uncorrected formation energy is -46.26 eV/f.u.



A PBEsol-optimized structure of Ca2CrOsAu, computed with meta-GGA SCAN.

abc: 5.3771 5.3771 4.2776
angles: 90.00 90.00 90.00
Last column: nearest neighbours and their distance in Å.
Atoms (fractional coordinates):
Ca (0.0000, 0.5000, 0.0000)  2 Cr 2.69
Ca (0.5000, 0.0000, 0.0000)  2 Cr 2.69
Cr (0.0000, 0.0000, 0.0000)  2 Os 2.14
Os (0.0000, 0.0000, 0.5000)  2 Cr 2.14
Au (0.5000, 0.5000, 0.5000)  8 Ca 3.44, 4 Os 3.80

Its space group is P4/mmm. Its formation energy from the elements is 663 meV/atom.



A PBEsol-optimized structure of BeAgPt4, computed with meta-GGA SCAN.

abc: 5.1648 5.1648 5.1648
angles: 60.00 60.00 60.00
Last column: nearest neighbours and their distance in Å.
Atoms (fractional coordinates):
Be (0.0000, 0.0000, 0.0000)  12 Pt 3.03, 4 Ag 3.16
Ag (0.2500, 0.2500, 0.2500)  12 Pt 3.03, 4 Be 3.16
Pt (0.1246, 0.6251, 0.6251)  6 Pt 2.58-2.59
Pt (0.6251, 0.1246, 0.6251)  6 Pt 2.58-2.59
Pt (0.6251, 0.6251, 0.1246)  6 Pt 2.58-2.59
Pt (0.6251, 0.6251, 0.6251)  6 Pt 2.58-2.59

Its space group is F-43m. Its formation energy from the elements is 165 meV/atom.



A PBEsol-optimized structure of ZnAg2B, computed with meta-GGA SCAN.

abc: 4.2380 4.2380 4.2380
angles: 60.00 60.00 60.00
Last column: nearest neighbours and their distance in Å.
Atoms (fractional coordinates):
Zn (0.0000, 0.0000, 0.0000)  8 Ag 2.60
Ag (0.2500, 0.2500, 0.2500)  4 B 2.60, 4 Zn 2.60
Ag (0.7500, 0.7500, 0.7500)  4 B 2.60, 4 Zn 2.60
B (0.5000, 0.5000, 0.5000)  8 Ag 2.60

Its space group is Fm-3m. Its formation energy from the elements is 725 meV/atom.



A PBEsol-optimized structure of Zr2SiSb, computed with meta-GGA SCAN.

abc: 5.0515 5.0515 3.2901
angles: 98.32 98.32 101.64
Last column: nearest neighbours and their distance in Å.
Atoms (fractional coordinates):
Zr (0.0000, 0.5000, 0.0000)  2 Sb 2.81, 2 Si 2.81
Zr (0.5000, 0.0000, 0.0000)  2 Sb 2.81, 2 Si 2.81
Si (0.0000, 0.0000, 0.5000)  4 Zr 2.81
Sb (0.5000, 0.5000, 0.5000)  4 Zr 2.81

Its space group is C2/m. Its energy above the most stable polymorph in this dataset is 0.064 eV/atom. The uncorrected formation energy is -2.07 eV/f.u.



A PBEsol-optimized structure of LiSeCl2, computed with meta-GGA SCAN.

abc: 3.2679 3.2679 7.4028
angles: 90.00 90.00 90.00
Last column: nearest neighbours and their distance in Å.
Atoms (fractional coordinates):
Li (0.0000, 0.0000, 0.0000)  5 Cl 2.19-2.45
Se (0.5000, 0.5000, 0.4295)  1 Cl 2.38
Cl (0.0000, 0.0000, 0.7035)  1 Li 2.19
Cl (0.5000, 0.5000, 0.1081)  1 Se 2.38, 4 Li 2.45

Its space group is P4mm. Its energy above the most stable polymorph in this dataset is 0.000 eV/atom. The uncorrected formation energy is -2.58 eV/f.u.



| no. | density (kg/m³) |
| --- | --- |
| 1 | 3718 |
| 2 | 12882 |
| 3 | 2544 |
| 4 | 6973 |
| 5 | 15293 |
| 6 | 9007 |
| 7 | 6894 |
| 8 | 3294 |